(1)
Compound: LiCd3Pd6
Source: Alexandria
Functional: PBE-GGA
Structure: relaxed

For the excess energy over the best structure of this formula in the dataset, the calculation gives 1.04 eV per formula unit. Its formation energy is -246 meV per atom.

The structure belongs to space group Cmc2_1 (No. 36); the cell edges are 9.1551, 15.0771 and 4.8659 Å and the angles 90.00°, 90.00° and 90.00°. The asymmetric unit holds Li at (0.0000, 0.2192, 0.0000), Cd at (0.0000, 0.3952, 0.0855), Cd at (0.1641, 0.0990, 0.6770), Pd at (0.0000, 0.0615, 0.1865), Pd at (0.0000, 0.2788, 0.5145), Pd at (0.1569, 0.4460, 0.6128) and Pd at (0.2392, 0.2144, 0.2622).


(2)
Compound: K3ICl6
Source: Alexandria
Functional: PBE-GGA
Structure: relaxed

The structure belongs to space group P2_1/c (No. 14); the cell edges are 5.1262, 8.4926 and 16.7861 Å and the angles 90.00°, 106.00° and 90.00°. The asymmetric unit holds K at (0.0000, 0.0000, 0.0000), K at (0.3067, 0.1745, 0.7425), I at (0.5000, 0.0000, 0.5000), Cl at (0.1277, 0.5156, 0.6910), Cl at (0.2654, 0.6244, 0.0989) and Cl at (0.4730, 0.7360, 0.4272).


(3)
Compound: Tb4ScAl5
Source: Alexandria
Functional: PBE-GGA
Structure: relaxed

Its formation energy is -403 meV per atom.

The structure belongs to space group P4/mmm (No. 123); the cell edges are 3.5471, 3.5471 and 18.0632 Å and the angles 90.00°, 90.00° and 90.00°. The asymmetric unit holds Tb at (0.0000, 0.0000, 0.1034), Tb at (0.0000, 0.0000, 0.3094), Sc at (0.0000, 0.0000, 0.5000), Al at (0.5000, 0.5000, 0.0000), Al at (0.5000, 0.5000, 0.2066) and Al at (0.5000, 0.5000, 0.4149).


(4)
Compound: LiHo2Er
Source: Alexandria
Functional: PBE-GGA
Structure: relaxed

For the excess energy over the best structure of this formula in the dataset, the calculation gives 0.32 eV per formula unit. Its formation energy is 150 meV per atom.

The structure belongs to space group P4/mmm (No. 123); the cell edges are 5.5158, 5.5158 and 3.7418 Å and the angles 90.00°, 90.00° and 90.00°. The asymmetric unit holds Li at (0.0000, 0.0000, 0.0000), Ho at (0.0000, 0.5000, 0.5000) and Er at (0.5000, 0.5000, 0.0000).


(5)
Compound: Rb2Rh3O6
Source: Alexandria
Functional: PBE-GGA
Structure: relaxed

The structure belongs to space group C2/m (No. 12); the cell edges are 5.5205, 9.5585 and 6.5248 Å and the angles 90.00°, 106.31° and 90.00°. The asymmetric unit holds Rb at (0.0000, 0.1668, 0.0000), Rh at (0.0000, 0.0000, 0.5000), Rh at (0.0000, 0.3339, 0.5000), O at (0.2174, 0.5000, 0.6543) and O at (0.2176, 0.1664, 0.6526).


(6)
Compound: ScZn2Tc
Source: Alexandria
Functional: PBE-GGA
Structure: relaxed

For the excess energy over the best structure of this formula in the dataset, the calculation gives 1.35 eV per formula unit. Its formation energy is 99 meV per atom.

The structure belongs to space group R3m (No. 160, hexagonal axes); the cell edges are 3.0607, 3.0607 and 25.3958 Å and the angles 90.00°, 90.00° and 120.00°. The asymmetric unit holds Sc at (0.0000, 0.0000, 0.0000), Zn at (0.0000, 0.0000, 0.5080), Zn at (0.0000, 0.0000, 0.7595) and Tc at (0.0000, 0.0000, 0.2532).


(7)
Compound: La3Cu
Source: Alexandria
Functional: PBE-GGA
Structure: relaxed

Its formation energy is 38 meV per atom.

The structure belongs to space group R-3m (No. 166, hexagonal axes); the cell edges are 3.7842, 3.7842 and 30.8781 Å and the angles 90.00°, 90.00° and 120.00°. The asymmetric unit holds La at (0.0000, 0.0000, 0.0000), La at (0.0000, 0.0000, 0.2339) and Cu at (0.0000, 0.0000, 0.5000).


(8)
Compound: AlFeIrC2
Source: Alexandria
Functional: PBE-GGA
Structure: relaxed

Its formation energy is 1378 meV per atom.

The structure belongs to space group P4/mmm (No. 123); the cell edges are 3.8595, 3.8595 and 5.1727 Å and the angles 90.00°, 90.00° and 90.00°. The asymmetric unit holds Al at (0.0000, 0.0000, 0.0000), Fe at (0.5000, 0.5000, 0.0000), Ir at (0.5000, 0.5000, 0.5000) and C at (0.0000, 0.5000, 0.5000).


(9)
Compound: RbCdH4
Source: Alexandria
Functional: PBE-GGA
Structure: relaxed

The structure belongs to space group Pmma (No. 51); the cell edges are 5.9207, 5.6338 and 5.9749 Å and the angles 90.00°, 90.00° and 90.00°. The asymmetric unit holds Rb at (0.2500, 0.0000, 0.2484), Cd at (0.2500, 0.5000, 0.7472), H at (0.0469, 0.5000, 0.2510) and H at (0.2500, 0.0786, 0.7463).


(10)
Compound: Pm8Ir2Rh
Source: Alexandria
Functional: PBE-GGA
Structure: relaxed

For the excess energy over the best structure of this formula in the dataset, the calculation gives 0.00 eV per formula unit. Its formation energy is -420 meV per atom.

The structure belongs to space group C2/m (No. 12); the cell edges are 17.8241, 4.9850 and 6.9899 Å and the angles 90.00°, 104.00° and 90.00°. The asymmetric unit holds Pm at (0.0320, 0.0000, 0.2865), Pm at (0.0933, 0.5000, 0.9548), Pm at (0.1677, 0.5000, 0.4683), Pm at (0.2043, 0.0000, 0.8192), Ir at (0.1913, 0.0000, 0.2174) and Rh at (0.0000, 0.5000, 0.5000).


(11)
Compound: BaCa2Cl
Source: Alexandria
Functional: PBE-GGA
Structure: relaxed

For the excess energy over the best structure of this formula in the dataset, the calculation gives 1.34 eV per formula unit.

The structure belongs to space group Cmmm (No. 65); the cell edges are 6.8861, 12.5421 and 3.9798 Å and the angles 90.00°, 90.00° and 90.00°. The asymmetric unit holds Ba at (0.0000, 0.0000, 0.0000), Ca at (0.2500, 0.2500, 0.5000) and Cl at (0.0000, 0.5000, 0.0000).


(12)
Compound: Ca6PN2
Source: Alexandria
Functional: PBE-GGA
Structure: relaxed

The structure belongs to space group C2/m (No. 12); the cell edges are 12.6761, 4.8649 and 8.6669 Å and the angles 90.00°, 123.56° and 90.00°. The asymmetric unit holds Ca at (0.0297, 0.0000, 0.1956), Ca at (0.1583, 0.5000, 0.5986), Ca at (0.2089, 0.5000, 0.0818), P at (0.0000, 0.0000, 0.5000) and N at (0.1773, 0.0000, 0.0831).


The calculation returns the following E_tot values, one per record and in order: -153.115, -56.882, -47.598, -15.032, -129.204, -56.547, -56.179, -32.623, -28.487, -135.387, -18.985, -81.604 eV per cell.
The calculation returns the following total moment values, one per record and in order: 0.0000, 0.0186, 0.0000, 0.0001, 0.0000, 0.0000, 0.0000, 0.5677, 0.0000, 0.0000, 0.0000, 0.0687 μB per atom.